## Dy2PaAu (PBE)

Data for an optimized crystal structure of Dy2PaAu.

Structure (POSCAR):
```
Dy2PaAu
1.0
3.522 0.000 0.000
0.000 3.522 0.000
0.000 0.000 8.199
Dy Pa Au
2 1 1
Cartesian
0.000 0.000 1.824 Dy
0.000 0.000 6.375 Dy
1.761 1.761 4.100 Pa
1.761 1.761 0.000 Au
```

Space group ... No. 123
Total DFT energy (no corrections) ... -5.787 eV/atom
Formation energy ... -293 meV/atom
Spin magnetization ... 0.00 Bohr magnetons per cell